Entry from the Alexandria database: a geometry-optimized Rb2CeDySe4 structure (PBE).

## Properties
Its space-group type is P2/m. The calculation puts the uncorrected formation energy at -1.700 eV/atom.

Structure (POSCAR):
```
Rb2CeDySe4
1.0
4.3302 0.0000 0.0000
0.0000 7.5003 0.1299
0.0000 -2.6314 7.9466
Rb Ce Dy Se
2 1 1 4
direct
0.5000 0.0000 0.5000 Rb
0.0000 0.5000 0.5000 Rb
0.5000 0.5000 0.0000 Ce
0.0000 0.0000 0.0000 Dy
0.5000 0.2245 0.1960 Se
0.5000 0.7755 0.8040 Se
0.0000 0.2593 0.8014 Se
0.0000 0.7407 0.1986 Se
```